# 1
An optimized crystal structure of FeAu3I. Source: Alexandria via LeMat-Bulk, functional PBE-GGA.

```
FeAu3I
1.0
4.953 0.000 0.000
0.000 4.953 0.000
0.000 0.000 4.953
Fe Au I
1 3 1
Cartesian
0.000 0.000 0.000 Fe
0.000 0.000 2.477 Au
0.000 2.477 0.000 Au
2.477 0.000 0.000 Au
2.477 2.477 2.477 I
```

raw formation energy = 0.739 eV per atom
space-group type = Pm-3m, No. 221
electronic total energy = -3.2295 eV per atom
D(E_F) = 0.98 states/eV per atom
magnetic moment = 3.0 μB per formula unit


# 2
An optimized crystal structure of CaCr2P. Source: Alexandria via LeMat-Bulk, functional PBE-GGA.

```
CaCr2P
1.0
-2.166 2.166 8.453
2.166 -2.166 8.453
2.166 2.166 -8.453
Ca Cr P
2 4 2
Cartesian
2.166 1.083 2.113 Ca
0.000 1.083 6.340 Ca
0.000 0.000 0.000 Cr
1.083 1.083 -4.226 Cr
1.083 -1.083 4.226 Cr
0.000 2.166 0.000 Cr
2.166 -1.083 6.340 P
0.000 3.250 2.113 P
```

ΔE_f = 23 kJ per mole of atoms
space-group type = I4_1/amd, No. 141
electronic total energy = -6.4253 eV per atom
D(E_F) = 0.60 states/eV per atom
magnetic moment = 2.9 μB per formula unit